# LaTlCo2, single point on PBEsol structure, DFT meta-GGA SCAN
# Magnetic moment   0.00 μB per formula unit
# ΔH_f (0 K)   0.423 eV/atom
# DFT total energy   -37.095 eV/atom
# DOS at the Fermi energy   1.128 states/eV/cell
data_LaTlCo2
_space_group_name_H-M_alt 'P 4/m m m'
_space_group_IT_number 123
_space_group_name_Hall '-P 4 2'
_cell_length_a 4.483
_cell_length_b 4.483
_cell_length_c 3.463
_cell_angle_alpha 90.00
_cell_angle_beta 90.00
_cell_angle_gamma 90.00
loop_
_atom_site_label
_atom_site_fract_x
_atom_site_fract_y
_atom_site_fract_z
La1 0.000 0.000 0.000
Tl1 0.500 0.500 0.000
Co1 0.000 0.500 0.500